Here is a relaxed PrGeHRu2 crystal from the Alexandria database. Energies are from PBE.

Geometry as CIF:
```
data_PrGeHRu2
_cell_length_a 3.788
_cell_length_b 5.851
_cell_length_c 7.493
_cell_angle_alpha 90.00
_cell_angle_beta 90.00
_cell_angle_gamma 108.89
_symmetry_space_group_name_H-M 'P 1'
_symmetry_Int_Tables_number 1
loop_
_symmetry_equiv_pos_as_xyz
'x,y,z'
loop_
_atom_site_label
_atom_site_type_symbol
_atom_site_fract_x
_atom_site_fract_y
_atom_site_fract_z
Pr1 Pr 0.552 0.104 0.250
Ru1 Ru 0.160 0.320 0.950
Ru2 Ru 0.840 0.680 0.050
H1 H 0.000 0.000 0.000
Ge1 Ge 0.725 0.451 0.750
H2 H 0.000 0.000 0.500
Ru3 Ru 0.840 0.680 0.450
Ru4 Ru 0.160 0.320 0.550
Pr2 Pr 0.448 0.896 0.750
Ge2 Ge 0.275 0.549 0.250
```

Output
electronic total energy: -32.95 eV per formula unit
spin magnetization: 0.0 μB per formula unit
density of states at the Fermi level: 1.165 states/eV/atom
crystal system: orthorhombic

=====

Here is a relaxed PrGe2HRu2 crystal from the Alexandria database. Energies are from PBE.

Geometry as CIF:
```
data_PrGe2HRu2
_cell_length_a 4.172
_cell_length_b 4.172
_cell_length_c 5.362
_cell_angle_alpha 90.00
_cell_angle_beta 90.00
_cell_angle_gamma 90.00
_symmetry_space_group_name_H-M 'P 1'
_symmetry_Int_Tables_number 1
loop_
_symmetry_equiv_pos_as_xyz
'x,y,z'
loop_
_atom_site_label
_atom_site_type_symbol
_atom_site_fract_x
_atom_site_fract_y
_atom_site_fract_z
H1 H 0.000 0.000 0.000
Pr1 Pr 0.000 0.000 0.500
Ge1 Ge 0.500 0.500 0.737
Ge2 Ge 0.500 0.500 0.263
Ru1 Ru 0.000 0.500 0.000
Ru2 Ru 0.500 0.000 0.000
```

Output
electronic total energy: -39.11 eV per formula unit
spin magnetization: 0.0 μB per formula unit
density of states at the Fermi level: 0.737 states/eV/atom
crystal system: tetragonal

=====

Here is a relaxed Pr4GeHS2 crystal from the Alexandria database. Energies are from PBE.

Geometry as CIF:
```
data_Pr4GeHS2
_cell_length_a 5.834
_cell_length_b 5.834
_cell_length_c 7.162
_cell_angle_alpha 114.18
_cell_angle_beta 114.18
_cell_angle_gamma 89.68
_symmetry_space_group_name_H-M 'P 1'
_symmetry_Int_Tables_number 1
loop_
_symmetry_equiv_pos_as_xyz
'x,y,z'
loop_
_atom_site_label
_atom_site_type_symbol
_atom_site_fract_x
_atom_site_fract_y
_atom_site_fract_z
Pr1 Pr 0.962 0.436 0.000
Pr2 Pr 0.189 0.189 0.498
S1 S 0.191 0.691 0.500
H1 H 0.402 0.402 0.000
S2 S 0.691 0.191 0.500
Pr3 Pr 0.436 0.962 0.000
Ge1 Ge 0.935 0.935 0.000
Pr4 Pr 0.691 0.691 0.502
```

Output
electronic total energy: -45.62 eV per formula unit
spin magnetization: 0.0 μB per formula unit
density of states at the Fermi level: 0.551 states/eV/atom
crystal system: orthorhombic

=====

Here is a relaxed Pr4Ge2SbH crystal from the Alexandria database. Energies are from PBE.

Geometry as CIF:
```
data_Pr4Ge2SbH
_cell_length_a 4.309
_cell_length_b 7.380
_cell_length_c 14.770
_cell_angle_alpha 90.00
_cell_angle_beta 90.00
_cell_angle_gamma 106.97
_symmetry_space_group_name_H-M 'P 1'
_symmetry_Int_Tables_number 1
loop_
_symmetry_equiv_pos_as_xyz
'x,y,z'
loop_
_atom_site_label
_atom_site_type_symbol
_atom_site_fract_x
_atom_site_fract_y
_atom_site_fract_z
H1 H 0.842 0.684 0.750
Pr1 Pr 0.563 0.126 0.250
Ge1 Ge 0.366 0.732 0.561
Ge2 Ge 0.634 0.268 0.061
Pr2 Pr 0.271 0.542 0.121
Ge3 Ge 0.634 0.268 0.439
Ge4 Ge 0.366 0.732 0.939
Pr3 Pr 0.000 0.000 0.000
Pr4 Pr 0.000 0.000 0.500
Pr5 Pr 0.729 0.458 0.879
Pr6 Pr 0.271 0.542 0.379
Sb1 Sb 0.891 0.782 0.250
Pr7 Pr 0.437 0.874 0.750
Pr8 Pr 0.729 0.458 0.621
H2 H 0.158 0.316 0.250
Sb2 Sb 0.109 0.218 0.750
```

Output
electronic total energy: -42.40 eV per formula unit
spin magnetization: 0.0 μB per formula unit
density of states at the Fermi level: 0.284 states/eV/atom
crystal system: orthorhombic

=====

Here is a relaxed PrScGeH crystal from the Alexandria database. Energies are from PBE.

Geometry as CIF:
```
data_PrScGeH
_cell_length_a 4.307
_cell_length_b 4.307
_cell_length_c 8.330
_cell_angle_alpha 90.00
_cell_angle_beta 90.00
_cell_angle_gamma 90.00
_symmetry_space_group_name_H-M 'P 1'
_symmetry_Int_Tables_number 1
loop_
_symmetry_equiv_pos_as_xyz
'x,y,z'
loop_
_atom_site_label
_atom_site_type_symbol
_atom_site_fract_x
_atom_site_fract_y
_atom_site_fract_z
Ge1 Ge 0.500 0.000 0.216
Sc1 Sc 0.000 0.000 0.000
Ge2 Ge 0.000 0.500 0.784
H1 H 0.000 0.000 0.500
Sc2 Sc 0.500 0.500 0.000
Pr1 Pr 0.000 0.500 0.362
Pr2 Pr 0.500 0.000 0.638
H2 H 0.500 0.500 0.500
```

Output
electronic total energy: -21.97 eV per formula unit
spin magnetization: 0.1 μB per formula unit
density of states at the Fermi level: 0.563 states/eV/atom
crystal system: tetragonal

=====

Here is a relaxed Pr2Sc4Ge3H2 crystal from the Alexandria database. Energies are from PBE.

Geometry as CIF:
```
data_Pr2Sc4Ge3H2
_cell_length_a 4.369
_cell_length_b 4.369
_cell_length_c 11.928
_cell_angle_alpha 100.55
_cell_angle_beta 100.55
_cell_angle_gamma 90.00
_symmetry_space_group_name_H-M 'P 1'
_symmetry_Int_Tables_number 1
loop_
_symmetry_equiv_pos_as_xyz
'x,y,z'
loop_
_atom_site_label
_atom_site_type_symbol
_atom_site_fract_x
_atom_site_fract_y
_atom_site_fract_z
Sc1 Sc 0.077 0.577 0.153
Sc2 Sc 0.577 0.077 0.153
Ge1 Ge 0.000 0.000 0.000
Sc3 Sc 0.423 0.923 0.847
H1 H 0.590 0.590 0.180
Pr1 Pr 0.302 0.302 0.604
Ge2 Ge 0.163 0.163 0.325
H2 H 0.410 0.410 0.820
Pr2 Pr 0.698 0.698 0.396
Ge3 Ge 0.837 0.837 0.675
Sc4 Sc 0.923 0.423 0.847
```

Output
electronic total energy: -63.05 eV per formula unit
spin magnetization: 1.2 μB per formula unit
density of states at the Fermi level: 0.765 states/eV/atom
crystal system: tetragonal

=====

Here is a relaxed Pr2Sc2Ge2H crystal from the Alexandria database. Energies are from PBE.

Geometry as CIF:
```
data_Pr2Sc2Ge2H
_cell_length_a 4.337
_cell_length_b 4.337
_cell_length_c 8.587
_cell_angle_alpha 104.63
_cell_angle_beta 104.63
_cell_angle_gamma 90.00
_symmetry_space_group_name_H-M 'P 1'
_symmetry_Int_Tables_number 1
loop_
_symmetry_equiv_pos_as_xyz
'x,y,z'
loop_
_atom_site_label
_atom_site_type_symbol
_atom_site_fract_x
_atom_site_fract_y
_atom_site_fract_z
Pr1 Pr 0.823 0.823 0.645
Sc1 Sc 0.500 0.000 0.000
Sc2 Sc 0.000 0.500 0.000
Ge1 Ge 0.621 0.621 0.243
Ge2 Ge 0.379 0.379 0.757
Pr2 Pr 0.177 0.177 0.355
H1 H 0.000 0.000 0.000
```

Output
electronic total energy: -39.97 eV per formula unit
spin magnetization: 1.8 μB per formula unit
density of states at the Fermi level: 0.730 states/eV/atom
crystal system: tetragonal

=====

Here is a relaxed Pr4GeHSe2 crystal from the Alexandria database. Energies are from PBE.

Geometry as CIF:
```
data_Pr4GeHSe2
_cell_length_a 4.242
_cell_length_b 7.173
_cell_length_c 7.342
_cell_angle_alpha 108.97
_cell_angle_beta 90.00
_cell_angle_gamma 90.00
_symmetry_space_group_name_H-M 'P 1'
_symmetry_Int_Tables_number 1
loop_
_symmetry_equiv_pos_as_xyz
'x,y,z'
loop_
_atom_site_label
_atom_site_type_symbol
_atom_site_fract_x
_atom_site_fract_y
_atom_site_fract_z
Se1 Se 0.000 0.500 0.500
Pr1 Pr 0.500 0.748 0.752
Ge1 Ge 0.500 0.500 0.000
Pr2 Pr 0.500 0.252 0.248
H1 H 0.000 0.000 0.000
Se2 Se 0.500 0.000 0.500
Pr3 Pr 0.000 0.750 0.239
Pr4 Pr 0.000 0.250 0.761
```

Output
electronic total energy: -43.63 eV per formula unit
spin magnetization: 0.0 μB per formula unit
density of states at the Fermi level: 0.432 states/eV/atom
crystal system: monoclinic